# Rb2Hg4Au

A relaxed Rb2Hg4Au crystal (PBE-GGA, the Alexandria database).

Structure (POSCAR):
```
Rb2Hg4Au
1.0
7.138 0.005 -0.002
-0.005 7.138 0.002
-3.565 -3.573 5.387
Rb Hg Au
2 4 1
Cartesian
-0.002 3.569 2.695
3.570 0.002 2.693
-1.544 1.542 5.388
2.023 2.026 0.000
5.111 5.118 0.000
5.113 2.027 0.000
3.569 3.570 5.387
```

## Properties
- energy of formation (eV/atom) = -0.162
- distance to the lowest polymorph of the same formula (meV/atom) = 66

=====

# CeTh2O6

A relaxed CeTh2O6 crystal (PBE-GGA, the Alexandria database).

Structure (POSCAR):
```
CeTh2O6
1.0
1.971 -3.415 0.000
1.971 3.415 0.000
0.000 0.000 9.628
Ce O Th
1 6 2
Cartesian
0.000 0.000 0.000
1.971 1.138 3.997
1.971 -1.138 0.767
1.971 -1.138 5.631
1.971 1.138 8.861
0.000 0.000 7.269
0.000 0.000 2.360
1.971 -1.138 3.177
1.971 1.138 6.451
```

## Properties
- raw formation energy (meV/atom) = -3749

=====

Q: Which formula does entry 1 have?
A: Rb2Hg4Au